Entry 1:
Crystalline Al2Co at its relaxed geometry. Source: Alexandria via LeMat-Bulk, functional GGA-PBE.

```
Al2Co
1.0
5.1497 0.0000 0.0000
0.0000 3.9062 0.0000
0.0000 0.0000 7.8833
Al Co
8 4
direct
0.0671 0.2500 0.1849 Al
0.1677 0.2500 0.5391 Al
0.3323 0.7500 0.0391 Al
0.4329 0.7500 0.6849 Al
0.5671 0.2500 0.3151 Al
0.6677 0.2500 0.9609 Al
0.8323 0.7500 0.4609 Al
0.9329 0.7500 0.8151 Al
0.2248 0.2500 0.8451 Co
0.2752 0.7500 0.3451 Co
0.7248 0.2500 0.6549 Co
0.7752 0.7500 0.1549 Co
```

Properties
D(E_F) = 0.56 states/eV/atom
energy of formation = -1.3 eV/f.u.
crystal system = orthorhombic

Entry 2:
Crystalline AlCo at its relaxed geometry. Source: Alexandria via LeMat-Bulk, functional GGA-PBE.

```
AlCo
1.0
4.7609 0.0000 0.0000
0.0000 4.7609 0.0000
0.0000 0.0000 4.7707
Al Co
4 4
direct
0.1999 0.1999 0.0000 Al
0.3001 0.6999 0.5000 Al
0.6999 0.3001 0.5000 Al
0.8001 0.8001 0.0000 Al
0.1943 0.1943 0.5000 Co
0.3057 0.6943 0.0000 Co
0.6943 0.3057 0.0000 Co
0.8057 0.8057 0.5000 Co
```

Properties
D(E_F) = 1.19 states/eV/atom
energy of formation = 0.3 eV/f.u.
crystal system = tetragonal

Entry 3:
Crystalline Al2Co3 at its relaxed geometry. Source: Alexandria via LeMat-Bulk, functional GGA-PBE.

```
Al2Co3
1.0
3.9124 0.0000 0.0000
-1.9562 3.3882 0.0000
0.0000 0.0000 4.8683
Al Co
2 3
direct
0.3333 0.6667 0.3348 Al
0.6667 0.3333 0.6652 Al
0.0000 0.0000 0.5000 Co
0.3333 0.6667 0.8501 Co
0.6667 0.3333 0.1499 Co
```

Properties
D(E_F) = 1.60 states/eV/atom
polymorph energy (0 for the lowest one) = 0.2727 eV/atom
energy of formation = -0.1 eV/f.u.
crystal system = trigonal

Q: What is the energy of formation in the third record?
A: -0.1 eV/f.u.

Q: Which formula does entry 2 have?
A: AlCo

Q: Look up the D(E_F) of the first one.
A: 0.56 states/eV/atom